(1)
An optimized crystal structure of ReTcIr. Source: the Alexandria database, functional PBEsol. Values from VASP.

## Properties
V = 44 Å³/cell
Fermi-level density of states = 1.438 states/eV per atom
Electronic total energy = -11.16 eV per atom
Energy of formation from the pure elements = 91 kJ/mol of formula units
Total moment = 0.00 μB/f.u.
Crystal system = tetragonal
Space group = I4mm, No. 107

The structure in Quantum ESPRESSO input format:
```
&SYSTEM
  ibrav = 0, nat = 3, ntyp = 3
/
ATOMIC_SPECIES
Re 186.21 Re.upf
Tc 98.00 Tc.upf
Ir 192.22 Ir.upf
CELL_PARAMETERS angstrom
-1.626 1.626 4.123
1.626 -1.626 4.123
1.626 1.626 -4.123
ATOMIC_POSITIONS crystal
Re 0.000 0.000 0.000
Tc 0.661 0.661 0.000
Ir 0.333 0.333 0.000
```

---

(2)
An optimized crystal structure of AgPbAu2. Source: the Alexandria database, functional PBEsol. Values from VASP.

## Properties
V = 80 Å³/cell
Fermi-level density of states = 0.311 states/eV per atom
Electronic total energy = -3.76 eV per atom
Energy of formation from the pure elements = 13 kJ/mol of formula units
Total moment = 0.00 μB/f.u.
Crystal system = monoclinic
Space group = Pm, No. 6

The structure in Quantum ESPRESSO input format:
```
&SYSTEM
  ibrav = 0, nat = 4, ntyp = 3
/
ATOMIC_SPECIES
Ag 107.87 Ag.upf
Pb 207.20 Pb.upf
Au 196.97 Au.upf
CELL_PARAMETERS angstrom
3.205 0.000 0.000
0.000 4.449 0.000
-1.548 0.000 5.593
ATOMIC_POSITIONS crystal
Ag 0.000 0.000 0.000
Pb 0.308 0.500 0.645
Au 0.572 0.500 0.145
Au 0.717 0.000 0.445
```

---

(3)
An optimized crystal structure of Ag3AsAu. Source: the Alexandria database, functional PBEsol. Values from VASP.

## Properties
V = 123 Å³/cell
Fermi-level density of states = 0.481 states/eV per atom
Electronic total energy = -2.85 eV per atom
Energy of formation from the pure elements = 453 kJ/mol of formula units
Total moment = 0.00 μB/f.u.
Crystal system = cubic
Space group = Pm-3m, No. 221

The structure in Quantum ESPRESSO input format:
```
&SYSTEM
  ibrav = 0, nat = 5, ntyp = 3
/
ATOMIC_SPECIES
Ag 107.87 Ag.upf
As 74.92 As.upf
Au 196.97 Au.upf
CELL_PARAMETERS angstrom
4.968 0.000 0.000
0.000 4.968 0.000
0.000 0.000 4.968
ATOMIC_POSITIONS crystal
Ag 0.000 0.000 0.500
Ag 0.000 0.500 0.000
Ag 0.500 0.000 0.000
As 0.500 0.500 0.500
Au 0.000 0.000 0.000
```

---

Repeat the first record exactly.
An optimized crystal structure of ReTcIr. Source: the Alexandria database, functional PBEsol. Values from VASP.

## Properties
V = 44 Å³/cell
Fermi-level density of states = 1.438 states/eV per atom
Electronic total energy = -11.16 eV per atom
Energy of formation from the pure elements = 91 kJ/mol of formula units
Total moment = 0.00 μB/f.u.
Crystal system = tetragonal
Space group = I4mm, No. 107

The structure in Quantum ESPRESSO input format:
```
&SYSTEM
  ibrav = 0, nat = 3, ntyp = 3
/
ATOMIC_SPECIES
Re 186.21 Re.upf
Tc 98.00 Tc.upf
Ir 192.22 Ir.upf
CELL_PARAMETERS angstrom
-1.626 1.626 4.123
1.626 -1.626 4.123
1.626 1.626 -4.123
ATOMIC_POSITIONS crystal
Re 0.000 0.000 0.000
Tc 0.661 0.661 0.000
Ir 0.333 0.333 0.000
```

---

- Which of these has the lowest Fermi-level density of states?
  AgPbAu2

---

- Among the records above, which one has the highest energy of formation from the pure elements?
  Ag3AsAu